Zn2Co3O8 (PBEsol, relaxed); electronic total energy = -6.351 eV per atom; total magnetization = 3.08 μB per formula unit; relative energy among the computed polymorphs = 8 meV per atom; symmetry = No. 12; formation energy without anion corrections = -1.09 eV/atom
1.0
4.8165 0.0000 0.3385
0.0000 5.5876 0.0000
-1.3848 -2.7938 4.5822
O Co Zn
8 3 2
direct
0.3670 0.8884 0.2276
0.0929 0.3952 0.7903
0.3670 0.3392 0.2276
0.8753 0.0986 0.1973
0.1247 0.9014 0.8027
0.6330 0.6608 0.7724
0.6330 0.1116 0.7724
0.9071 0.6048 0.2097
0.0000 0.7457 0.0000
0.5000 0.0000 0.0000
0.0000 0.2543 0.0000
0.3944 0.2909 0.5818
0.6056 0.7091 0.4182